(1)
A plane-wave DFT calculation with PBE was carried out for a relaxed structure of Ba2SiAgS6.

Lattice parameters (Å, degrees): 6.888 6.888 6.888 60.00 60.00 60.00
Element x y z (fractional)
S 0.764 0.236 0.236
S 0.236 0.236 0.764
S 0.764 0.236 0.764
S 0.764 0.764 0.236
S 0.236 0.764 0.764
S 0.236 0.764 0.236
Ba 0.250 0.250 0.250
Ba 0.750 0.750 0.750
Ag 0.500 0.500 0.500
Si 0.000 0.000 0.000

Properties
SG   Fm-3m (225)
Uncorrected energy   -4.467 eV/atom
Crystal system   cubic

---

(2)
A plane-wave DFT calculation with PBE was carried out for a relaxed structure of AgSbPbS3.

Lattice parameters (Å, degrees): 7.670 12.909 6.041 90.00 91.27 90.00
Element x y z (fractional)
Sb 0.364 0.091 0.265
Sb 0.136 0.591 0.735
Sb 0.864 0.409 0.265
Sb 0.636 0.909 0.735
Ag 0.879 0.737 0.222
Ag 0.121 0.263 0.778
Ag 0.379 0.763 0.222
Ag 0.621 0.237 0.778
S 0.858 0.374 0.862
S 0.152 0.943 0.263
S 0.142 0.626 0.138
S 0.642 0.874 0.138
S 0.637 0.277 0.347
S 0.848 0.057 0.737
S 0.652 0.557 0.263
S 0.348 0.443 0.737
S 0.137 0.223 0.347
S 0.358 0.126 0.862
S 0.363 0.723 0.653
S 0.863 0.777 0.653
Pb 0.146 0.917 0.743
Pb 0.854 0.083 0.257
Pb 0.646 0.583 0.743
Pb 0.354 0.417 0.257

Properties
SG   P2_1/c (14)
ΔE to the lowest computed polymorph   0 meV/atom
Crystal system   monoclinic

---

(3)
A plane-wave DFT calculation with PBE was carried out for a relaxed structure of ZnCoGeS3.

Lattice parameters (Å, degrees): 3.438 7.280 8.742 90.00 90.00 76.34
Element x y z (fractional)
Co 0.000 0.000 0.500
Co 0.000 0.000 0.000
S 0.605 0.789 0.473
S 0.044 0.912 0.750
S 0.395 0.211 0.527
S 0.605 0.789 0.027
S 0.956 0.088 0.250
S 0.395 0.211 0.973
Zn 0.305 0.390 0.750
Zn 0.695 0.610 0.250
Ge 0.665 0.669 0.750
Ge 0.335 0.331 0.250

Properties
SG   Cmcm (63)
ΔE to the lowest computed polymorph   0 meV/atom
Crystal system   orthorhombic

---

(4)
A plane-wave DFT calculation with PBE was carried out for a relaxed structure of NaPdAu.

Lattice parameters (Å, degrees): 4.430 4.430 4.430 60.00 60.00 60.00
Element x y z (fractional)
Na 0.000 0.000 0.000
Pd 0.750 0.750 0.750
Au 0.250 0.250 0.250

Properties
SG   F-43m (216)
Uncorrected energy   -2.968 eV/atom
Crystal system   cubic

---

(5)
A plane-wave DFT calculation with PBE was carried out for a relaxed structure of Pr2CoCuSb4.

Lattice parameters (Å, degrees): 4.425 4.425 9.945 90.00 90.00 90.00
Site moments in Bohr magnetons follow the coordinates.
Element x y z (fractional)
Pr 0.000 0.500 0.243  0.00
Pr 0.500 0.000 0.757  0.01
Sb 0.500 0.500 0.500  0.00
Sb 0.500 0.000 0.138  0.00
Sb 0.000 0.500 0.862  0.00
Sb 0.000 0.000 0.500  0.00
Co 0.500 0.500 0.000  0.35
Cu 0.000 0.000 0.000  0.01

Properties
SG   P-4m2 (115)
Uncorrected energy   -5.224 eV/atom
Crystal system   tetragonal

---

(6)
A plane-wave DFT calculation with PBE was carried out for a relaxed structure of TcAgC3.

Lattice parameters (Å, degrees): 6.108 6.108 5.777 90.00 90.00 120.00
Element x y z (fractional)
C 0.000 0.234 0.537
C 0.766 0.000 0.463
C 0.234 0.000 0.537
C 0.000 0.766 0.463
C 0.234 0.234 0.463
C 0.766 0.766 0.537
Tc 0.000 0.000 0.818
Tc 0.000 0.000 0.182
Ag 0.667 0.333 0.500
Ag 0.333 0.667 0.500

Properties
SG   P-31m (162)
Uncorrected energy   -6.411 eV/atom
Crystal system   trigonal

---

(7)
A plane-wave DFT calculation with PBE was carried out for a relaxed structure of Np3Al2.

Lattice parameters (Å, degrees): 7.220 7.220 6.509 123.69 56.31 120.00
Site moments in Bohr magnetons follow the coordinates.
Element x y z (fractional)
Np 0.551 0.250 0.750  1.93
Np 0.250 0.949 0.250  1.95
Np 0.051 0.551 0.250  1.94
Np 0.949 0.449 0.750  1.94
Np 0.750 0.051 0.750  1.95
Np 0.449 0.750 0.250  1.93
Al 0.082 0.918 0.755  -0.01
Al 0.418 0.582 0.745  -0.01
Al 0.582 0.418 0.255  -0.01
Al 0.918 0.082 0.245  -0.01

Properties
SG   R-3c (167)
Uncorrected energy   -8.664 eV/atom
Crystal system   trigonal

---

(8)
A plane-wave DFT calculation with PBE was carried out for a relaxed structure of GdYPBr2.

Lattice parameters (Å, degrees): 4.025 4.025 10.881 90.00 90.00 120.00
Element x y z (fractional)
P 0.667 0.333 0.502
Gd 0.000 0.000 0.359
Y 0.333 0.667 0.641
Br 0.333 0.667 0.190
Br 0.000 0.000 0.808

Properties
SG   P3m1 (156)
Uncorrected energy   -5.759 eV/atom
Crystal system   trigonal

---

(9)
A plane-wave DFT calculation with PBE was carried out for a relaxed structure of Zr3NiCN.

Lattice parameters (Å, degrees): 3.302 3.302 18.271 90.00 90.00 120.00
Element x y z (fractional)
C 0.667 0.333 0.923
C 0.333 0.667 0.077
Zr 0.667 0.333 0.146
Zr 0.333 0.667 0.646
Zr 0.000 0.000 0.000
Zr 0.667 0.333 0.354
Zr 0.333 0.667 0.854
Zr 0.000 0.000 0.500
Ni 0.000 0.000 0.253
Ni 0.000 0.000 0.747
N 0.667 0.333 0.572
N 0.333 0.667 0.428

Properties
SG   P-3m1 (164)
Uncorrected energy   -9.001 eV/atom
Crystal system   trigonal

---

(10)
A plane-wave DFT calculation with PBE was carried out for a relaxed structure of Al2ZnCoCu4.

Lattice parameters (Å, degrees): 4.056 4.056 6.026 90.00 90.00 90.00
Site moments in Bohr magnetons follow the coordinates.
Element x y z (fractional)
Cu 0.000 0.500 0.253  0.00
Cu 0.000 0.500 0.747  0.00
Cu 0.500 0.000 0.253  0.00
Cu 0.500 0.000 0.747  0.00
Al 0.500 0.500 0.500  0.00
Al 0.000 0.000 0.000  0.00
Zn 0.500 0.500 0.000  0.00
Co 0.000 0.000 0.500  0.53

Properties
SG   P4/mmm (123)
ΔE to the lowest computed polymorph   0 meV/atom
Crystal system   tetragonal

---

(11)
A plane-wave DFT calculation with PBE was carried out for a relaxed structure of Cs3Ag2P4HO14.

Lattice parameters (Å, degrees): 5.650 5.888 13.054 91.66 100.48 117.11
Element x y z (fractional)
P 0.556 0.299 0.355
P 0.403 0.453 0.832
P 0.444 0.701 0.645
P 0.597 0.547 0.168
Ag 0.998 0.277 0.231
Ag 0.002 0.723 0.769
O 0.283 0.396 0.128
O 0.750 0.874 0.687
O 0.727 0.388 0.130
O 0.717 0.604 0.872
O 0.712 0.157 0.332
O 0.347 0.442 0.704
O 0.273 0.612 0.870
O 0.718 0.819 0.142
O 0.371 0.598 0.528
O 0.250 0.126 0.313
O 0.282 0.181 0.858
O 0.653 0.558 0.296
O 0.288 0.843 0.668
O 0.629 0.402 0.472
Cs 0.209 0.861 0.070
Cs 0.791 0.139 0.930
Cs 0.000 0.000 0.500
H 0.500 0.500 0.500

Properties
SG   P-1 (2)
Uncorrected energy   -6.078 eV/atom
Crystal system   triclinic

---

(12)
A plane-wave DFT calculation with PBE was carried out for a relaxed structure of Zn3Ag.

Lattice parameters (Å, degrees): 4.424 5.655 4.907 90.00 90.00 90.00
Element x y z (fractional)
Zn 0.000 0.252 0.662
Zn 0.000 0.748 0.662
Zn 0.500 0.752 0.338
Zn 0.500 0.248 0.338
Zn 0.500 0.500 0.823
Zn 0.000 0.000 0.177
Ag 0.500 0.000 0.841
Ag 0.000 0.500 0.159

Properties
SG   Pmmn (59)
Energy of formation   -4 kJ/mol of atoms
Crystal system   orthorhombic